Here is a relaxed structure of Gd2CF2 from the Alexandria database. Energies are from PBE-GGA.

Cell and atoms, written as CIF:
```
data_Gd2CF2
_chemical_formula_sum 'Gd2 C1 F2'
_cell_length_a 3.725
_cell_length_b 3.725
_cell_length_c 6.581
_cell_angle_alpha 90.00
_cell_angle_beta 90.00
_cell_angle_gamma 120.00
_symmetry_space_group_name_H-M 'P 1'
_symmetry_Int_Tables_number 1
_symmetry_space_group_name_Hall 'P 1'
loop_
_atom_site_label
_atom_site_type_symbol
_atom_site_fract_x
_atom_site_fract_y
_atom_site_fract_z
Gd1 Gd 0.333 0.667 0.211
Gd2 Gd 0.667 0.333 0.789
C1 C 0.000 0.000 0.000
F1 F 0.333 0.667 0.618
F2 F 0.667 0.333 0.382
```

**Crystal system**: trigonal
**Formation energy from raw total energies**: -2.3549 eV per atom

=====

Here is a relaxed structure of LaNd4DyEr2 from the Alexandria database. Energies are from PBE-GGA.

Cell and atoms, written as CIF:
```
data_LaNd4DyEr2
_chemical_formula_sum 'La2 Nd8 Dy2 Er4'
_cell_length_a 11.453
_cell_length_b 5.146
_cell_length_c 10.301
_cell_angle_alpha 90.00
_cell_angle_beta 116.80
_cell_angle_gamma 90.00
_symmetry_space_group_name_H-M 'P 1'
_symmetry_Int_Tables_number 1
_symmetry_space_group_name_Hall 'P 1'
loop_
_atom_site_label
_atom_site_type_symbol
_atom_site_fract_x
_atom_site_fract_y
_atom_site_fract_z
La1 La 0.000 0.000 0.000
La2 La 0.500 0.500 0.000
Nd1 Nd 0.249 0.000 0.873
Nd2 Nd 0.249 0.500 0.623
Nd3 Nd 0.251 0.000 0.377
Nd4 Nd 0.251 0.500 0.127
Nd5 Nd 0.749 0.000 0.623
Nd6 Nd 0.749 0.500 0.873
Nd7 Nd 0.751 0.000 0.127
Nd8 Nd 0.751 0.500 0.377
Dy1 Dy 0.000 0.000 0.500
Dy2 Dy 0.500 0.500 0.500
Er1 Er 0.000 0.500 0.253
Er2 Er 0.000 0.500 0.747
Er3 Er 0.500 0.000 0.253
Er4 Er 0.500 0.000 0.747
```

**DOS at the Fermi energy**: 24.2 states/eV/cell
**Formation energy from the elements**: 22 meV per atom
**Crystal system**: monoclinic

=====

Here is a relaxed structure of Ac3GaAg2O9 from the Alexandria database. Energies are from PBE-GGA.

Cell and atoms, written as CIF:
```
data_Ac3GaAg2O9
_chemical_formula_sum 'Ac3 Ga1 Ag2 O9'
_cell_length_a 5.797
_cell_length_b 5.797
_cell_length_c 7.108
_cell_angle_alpha 90.00
_cell_angle_beta 90.00
_cell_angle_gamma 120.00
_symmetry_space_group_name_H-M 'P 1'
_symmetry_Int_Tables_number 1
_symmetry_space_group_name_Hall 'P 1'
loop_
_atom_site_label
_atom_site_type_symbol
_atom_site_fract_x
_atom_site_fract_y
_atom_site_fract_z
Ac1 Ac 0.000 0.000 0.000
Ac2 Ac 0.333 0.667 0.660
Ac3 Ac 0.667 0.333 0.340
Ga1 Ga 0.000 0.000 0.500
Ag1 Ag 0.333 0.667 0.172
Ag2 Ag 0.667 0.333 0.828
O1 O 0.000 0.500 0.000
O2 O 0.160 0.321 0.342
O3 O 0.160 0.840 0.342
O4 O 0.321 0.160 0.658
O5 O 0.500 0.000 0.000
O6 O 0.500 0.500 0.000
O7 O 0.679 0.840 0.342
O8 O 0.840 0.160 0.658
O9 O 0.840 0.679 0.658
```

**DOS at the Fermi energy**: 2.8 states/eV/cell
**Crystal system**: trigonal
**Formation energy from raw total energies**: -1.9092 eV per atom

=====

Here is a relaxed structure of ZrMoC2 from the Alexandria database. Energies are from PBE-GGA.

Cell and atoms, written as CIF:
```
data_ZrMoC2
_chemical_formula_sum 'Zr1 Mo1 C2'
_cell_length_a 3.078
_cell_length_b 3.466
_cell_length_c 4.675
_cell_angle_alpha 90.00
_cell_angle_beta 90.00
_cell_angle_gamma 90.00
_symmetry_space_group_name_H-M 'P 1'
_symmetry_Int_Tables_number 1
_symmetry_space_group_name_Hall 'P 1'
loop_
_atom_site_label
_atom_site_type_symbol
_atom_site_fract_x
_atom_site_fract_y
_atom_site_fract_z
Zr1 Zr 0.000 0.000 0.000
Mo1 Mo 0.000 0.500 0.500
C1 C 0.500 0.500 0.157
C2 C 0.500 0.500 0.843
```

**DOS at the Fermi energy**: 2.3 states/eV/cell
**Formation energy from the elements**: -6 meV per atom
**Crystal system**: orthorhombic
**Relative energy among the computed polymorphs**: 34.3 kJ/mol of atoms

=====

no.,calculated total energy (eV per atom),calculated density (Mg/m³)
1,-10.581,7.7
2,-4.694,7.4
3,-6.288,8.9
4,-9.463,7.0